# TaP2Se6 (GGA-PBE, relaxed)
data_TaP2Se6
_cell_length_a 6.4841
_cell_length_b 6.4841
_cell_length_c 21.6887
_cell_angle_alpha 90.00
_cell_angle_beta 90.00
_cell_angle_gamma 120.00
_symmetry_space_group_name_H-M 'R 3'
_symmetry_Int_Tables_number 146
_symmetry_space_group_name_Hall 'R 3'
loop_
_atom_site_label
_atom_site_fract_x
_atom_site_fract_y
_atom_site_fract_z
Ta1 0.0000 0.0000 0.0000
P1 0.0000 0.0000 0.6219
P2 0.0000 0.0000 0.7241
Se1 0.0043 0.3494 0.6007
Se2 0.0638 0.7050 0.7535
# - Raw formation energy: -263 meV per atom
# - Fermi-level density of states: 12.8 states/eV/cell
# - Relative energy among the computed polymorphs: 0.000 eV per atom
# - Magnetic moment: 0.0 μB/f.u.
# - Total DFT energy (no corrections): -5.11 eV/atom